# 1
First-principles (PBE-GGA) data for KTe2IO after structural relaxation, as listed in Alexandria.

Structure (CIF):
```
data_KTe2IO
_chemical_formula_sum 'K1 Te2 I1 O1'
_cell_length_a 6.8825
_cell_length_b 6.8825
_cell_length_c 6.5818
_cell_angle_alpha 90.00
_cell_angle_beta 90.00
_cell_angle_gamma 90.00
_space_group_name_H-M_alt 'P 4/m m m'
_space_group_IT_number 123
_space_group_name_Hall '-P 4 2'
loop_
_atom_site_label
_atom_site_fract_x
_atom_site_fract_y
_atom_site_fract_z
K1 0.0000 0.0000 0.0000
Te1 0.0000 0.5000 0.0000
I1 0.0000 0.0000 0.5000
O1 0.5000 0.5000 0.5000
```

Properties
The calculation puts the energy above the most stable polymorph in this dataset at 1337 meV per atom. For the energy relative to the elements, uncorrected, the calculation gives 0.937 eV per atom.

# 2
First-principles (PBE-GGA) data for K12TeI4O3 after structural relaxation, as listed in Alexandria.

Structure (CIF):
```
data_K12TeI4O3
_chemical_formula_sum 'K24 Te2 I8 O6'
_cell_length_a 11.3811
_cell_length_b 11.3811
_cell_length_c 11.3811
_cell_angle_alpha 90.00
_cell_angle_beta 90.00
_cell_angle_gamma 90.00
_space_group_name_H-M_alt 'I m -3 m'
_space_group_IT_number 229
_space_group_name_Hall '-I 4 2 3'
loop_
_atom_site_label
_atom_site_fract_x
_atom_site_fract_y
_atom_site_fract_z
K1 0.0000 0.0000 0.2806
K2 0.0000 0.2500 0.5000
Te1 0.0000 0.0000 0.0000
I1 0.2500 0.2500 0.2500
O1 0.0000 0.0000 0.5000
```

Properties
For the energy relative to the elements, uncorrected, the calculation gives -1.175 eV per atom.

# 3
First-principles (PBE-GGA) data for KTiI2O after structural relaxation, as listed in Alexandria.

Structure (CIF):
```
data_KTiI2O
_chemical_formula_sum 'K1 Ti1 I2 O1'
_cell_length_a 5.9896
_cell_length_b 5.9896
_cell_length_c 3.8374
_cell_angle_alpha 90.00
_cell_angle_beta 90.00
_cell_angle_gamma 90.00
_space_group_name_H-M_alt 'P 4/m m m'
_space_group_IT_number 123
_space_group_name_Hall '-P 4 2'
loop_
_atom_site_label
_atom_site_fract_x
_atom_site_fract_y
_atom_site_fract_z
K1 0.0000 0.0000 0.0000
Ti1 0.5000 0.5000 0.5000
I1 0.0000 0.5000 0.5000
O1 0.5000 0.5000 0.0000
```

Properties
The calculation puts the energy above the most stable polymorph in this dataset at 0 meV per atom. For the energy relative to the elements, uncorrected, the calculation gives -1.490 eV per atom.

# 4
First-principles (PBE-GGA) data for KTiI2O after structural relaxation, as listed in Alexandria.

Structure (CIF):
```
data_KTiI2O
_chemical_formula_sum 'K1 Ti1 I2 O1'
_cell_length_a 6.1652
_cell_length_b 6.1652
_cell_length_c 4.3067
_cell_angle_alpha 90.00
_cell_angle_beta 90.00
_cell_angle_gamma 90.00
_space_group_name_H-M_alt 'P 4/m m m'
_space_group_IT_number 123
_space_group_name_Hall '-P 4 2'
loop_
_atom_site_label
_atom_site_fract_x
_atom_site_fract_y
_atom_site_fract_z
K1 0.0000 0.0000 0.0000
Ti1 0.5000 0.5000 0.5000
I1 0.0000 0.5000 0.0000
O1 0.0000 0.0000 0.5000
```

Properties
The calculation puts the energy above the most stable polymorph in this dataset at 1924 meV per atom. For the energy relative to the elements, uncorrected, the calculation gives 0.434 eV per atom.

# 5
First-principles (PBE-GGA) data for KTi2IO8 after structural relaxation, as listed in Alexandria.

Structure (CIF):
```
data_KTi2IO8
_chemical_formula_sum 'K2 Ti4 I2 O16'
_cell_length_a 8.1404
_cell_length_b 6.0614
_cell_length_c 7.0961
_cell_angle_alpha 90.00
_cell_angle_beta 107.27
_cell_angle_gamma 90.00
_space_group_name_H-M_alt 'C 1 2/m 1'
_space_group_IT_number 12
loop_
_space_group_symop_operation_xyz
'x,y,z'
'-x,-y,-z'
'-x,y,-z'
'x,-y,z'
'x+1/2,y+1/2,z'
'-x+1/2,-y+1/2,-z'
'-x+1/2,y+1/2,-z'
'x+1/2,-y+1/2,z'
loop_
_atom_site_label
_atom_site_fract_x
_atom_site_fract_y
_atom_site_fract_z
K1 0.0000 0.0000 0.0000
Ti1 0.0466 0.5000 0.2151
I1 0.0000 0.0000 0.5000
O1 0.0169 0.2242 0.6966
O2 0.1535 0.5000 0.0226
O3 0.2373 0.0000 0.5576
```

Properties
For the energy relative to the elements, uncorrected, the calculation gives -1.749 eV per atom.

# 6
First-principles (PBE-GGA) data for KTiIO2 after structural relaxation, as listed in Alexandria.

Structure (CIF):
```
data_KTiIO2
_chemical_formula_sum 'K1 Ti1 I1 O2'
_cell_length_a 4.5995
_cell_length_b 4.5995
_cell_length_c 6.1896
_cell_angle_alpha 90.00
_cell_angle_beta 90.00
_cell_angle_gamma 90.00
_space_group_name_H-M_alt 'P 4/m m m'
_space_group_IT_number 123
_space_group_name_Hall '-P 4 2'
loop_
_atom_site_label
_atom_site_fract_x
_atom_site_fract_y
_atom_site_fract_z
K1 0.0000 0.0000 0.0000
Ti1 0.5000 0.5000 0.5000
I1 0.0000 0.0000 0.5000
O1 0.0000 0.5000 0.0000
```

Properties
The calculation puts the energy above the most stable polymorph in this dataset at 2137 meV per atom. For the energy relative to the elements, uncorrected, the calculation gives 0.561 eV per atom.

# 7
First-principles (PBE-GGA) data for KTiIO2 after structural relaxation, as listed in Alexandria.

Structure (CIF):
```
data_KTiIO2
_chemical_formula_sum 'K1 Ti1 I1 O2'
_cell_length_a 4.1106
_cell_length_b 4.1106
_cell_length_c 5.7076
_cell_angle_alpha 90.00
_cell_angle_beta 90.00
_cell_angle_gamma 90.00
_space_group_name_H-M_alt 'P 4/m m m'
_space_group_IT_number 123
_space_group_name_Hall '-P 4 2'
loop_
_atom_site_label
_atom_site_fract_x
_atom_site_fract_y
_atom_site_fract_z
K1 0.0000 0.0000 0.0000
Ti1 0.5000 0.5000 0.5000
I1 0.5000 0.5000 0.0000
O1 0.0000 0.5000 0.5000
```

Properties
The calculation puts the energy above the most stable polymorph in this dataset at 0 meV per atom. For the energy relative to the elements, uncorrected, the calculation gives -1.576 eV per atom.

# 8
First-principles (PBE-GGA) data for K2TiIO6 after structural relaxation, as listed in Alexandria.

Structure (CIF):
```
data_K2TiIO6
_chemical_formula_sum 'K8 Ti4 I4 O24'
_cell_length_a 8.0153
_cell_length_b 8.0153
_cell_length_c 8.0153
_cell_angle_alpha 90.00
_cell_angle_beta 90.00
_cell_angle_gamma 90.00
_space_group_name_H-M_alt 'F m -3 m'
_space_group_IT_number 225
_space_group_name_Hall '-F 4 2 3'
loop_
_atom_site_label
_atom_site_fract_x
_atom_site_fract_y
_atom_site_fract_z
K1 0.2500 0.2500 0.2500
Ti1 0.0000 0.0000 0.0000
I1 0.0000 0.0000 0.5000
O1 0.0000 0.0000 0.2496
```

Properties
For the energy relative to the elements, uncorrected, the calculation gives -1.522 eV per atom.

# 9
First-principles (PBE-GGA) data for K3Tl3IO8 after structural relaxation, as listed in Alexandria.

Structure (CIF):
```
data_K3Tl3IO8
_chemical_formula_sum 'K9 Tl9 I3 O24'
_cell_length_a 7.0273
_cell_length_b 7.0273
_cell_length_c 19.0510
_cell_angle_alpha 90.00
_cell_angle_beta 90.00
_cell_angle_gamma 120.00
_space_group_name_H-M_alt 'R -3 m'
_space_group_IT_number 166
_space_group_name_Hall '-R 3 2"'
loop_
_atom_site_label
_atom_site_fract_x
_atom_site_fract_y
_atom_site_fract_z
K1 0.0000 0.5000 0.0000
Tl1 0.0000 0.5000 0.5000
I1 0.0000 0.0000 0.5000
O1 0.0000 0.0000 0.2257
O2 0.0372 0.5186 0.2293
```

Properties
For the energy relative to the elements, uncorrected, the calculation gives -0.837 eV per atom.

# 10
First-principles (PBE-GGA) data for KTlI2O after structural relaxation, as listed in Alexandria.

Structure (CIF):
```
data_KTlI2O
_chemical_formula_sum 'K1 Tl1 I2 O1'
_cell_length_a 6.3473
_cell_length_b 6.3473
_cell_length_c 4.1841
_cell_angle_alpha 90.00
_cell_angle_beta 90.00
_cell_angle_gamma 90.00
_space_group_name_H-M_alt 'P 4/m m m'
_space_group_IT_number 123
_space_group_name_Hall '-P 4 2'
loop_
_atom_site_label
_atom_site_fract_x
_atom_site_fract_y
_atom_site_fract_z
K1 0.0000 0.0000 0.0000
Tl1 0.5000 0.5000 0.5000
I1 0.0000 0.5000 0.5000
O1 0.5000 0.5000 0.0000
```

Properties
The calculation puts the energy above the most stable polymorph in this dataset at 0 meV per atom. For the energy relative to the elements, uncorrected, the calculation gives -0.665 eV per atom.

# 11
First-principles (PBE-GGA) data for KTlI2O after structural relaxation, as listed in Alexandria.

Structure (CIF):
```
data_KTlI2O
_chemical_formula_sum 'K1 Tl1 I2 O1'
_cell_length_a 6.6163
_cell_length_b 6.6163
_cell_length_c 5.1528
_cell_angle_alpha 90.00
_cell_angle_beta 90.00
_cell_angle_gamma 90.00
_space_group_name_H-M_alt 'P 4/m m m'
_space_group_IT_number 123
_space_group_name_Hall '-P 4 2'
loop_
_atom_site_label
_atom_site_fract_x
_atom_site_fract_y
_atom_site_fract_z
K1 0.0000 0.0000 0.0000
Tl1 0.5000 0.5000 0.5000
I1 0.0000 0.5000 0.0000
O1 0.0000 0.0000 0.5000
```

Properties
The calculation puts the energy above the most stable polymorph in this dataset at 457 meV per atom. For the energy relative to the elements, uncorrected, the calculation gives -0.208 eV per atom.

# 12
First-principles (PBE-GGA) data for K2TlIO4 after structural relaxation, as listed in Alexandria.

Structure (CIF):
```
data_K2TlIO4
_chemical_formula_sum 'K4 Tl2 I2 O8'
_cell_length_a 5.9779
_cell_length_b 5.9779
_cell_length_c 10.8204
_cell_angle_alpha 90.00
_cell_angle_beta 90.00
_cell_angle_gamma 90.00
_space_group_name_H-M_alt 'I -4'
_space_group_IT_number 82
loop_
_space_group_symop_operation_xyz
'x,y,z'
'y,-x,-z'
'-x,-y,z'
'-y,x,-z'
'x+1/2,y+1/2,z+1/2'
'y+1/2,-x+1/2,-z+1/2'
'-x+1/2,-y+1/2,z+1/2'
'-y+1/2,x+1/2,-z+1/2'
loop_
_atom_site_label
_atom_site_fract_x
_atom_site_fract_y
_atom_site_fract_z
K1 0.0000 0.0000 0.0000
K2 0.0000 0.5000 0.2500
Tl1 0.0000 0.0000 0.5000
I1 0.0000 0.5000 0.7500
O1 0.1925 0.6975 0.8521
```

Properties
For the energy relative to the elements, uncorrected, the calculation gives -0.828 eV per atom.